# 1
PmHoCuRh (PBE, optimized geometry); ΔE to the lowest computed polymorph = 0.0 kJ/mol of atoms
1.0
-2.5738 0.3155 -2.8110
2.2033 -3.0074 -2.3549
-1.5714 -3.9664 3.5952
Rh Cu Pm Ho
1 1 1 1
Direct
0.4186 0.0000 0.8372
0.5740 0.5000 0.1480
0.1425 0.0000 0.2851
0.8649 0.5000 0.7297

***

# 2
A plane-wave DFT calculation with PBE was carried out for a relaxed structure of Zn2CoAs.

Structure (POSCAR):
```
Zn2CoAs
1.0
2.8067 0.0000 0.0000
0.0000 2.8067 0.0000
0.0000 0.0000 7.7887
Zn As Co
2 1 1
Direct
0.0000 0.0000 0.9653
0.5000 0.5000 0.2153
0.0000 0.0000 0.5703
0.5000 0.5000 0.7491
```

***

no.,DFT formation energy (eV/f.u.),N(E_F) (states/eV/f.u.),total moment (μB/f.u.)
1,-2.15,2.828,0.00
2,0.00,1.864,0.35